# 1
## TiP2PbS (PBE-GGA)

Data for crystalline TiP2PbS at its relaxed geometry.

a = 4.812 Å, b = 4.812 Å, c = 4.719 Å
α = 90.00°, β = 90.00°, γ = 90.00°
Space group P4/mmm (No. 123)
Unique sites:
Ti: 0.000 0.000 0.000
P: 0.000 0.500 0.000
Pb: 0.500 0.500 0.500
S: 0.000 0.000 0.500

Calculated values
- offset from the most stable computed form (eV/atom) = 0.000
- formation energy without anion corrections (eV per atom) = -0.143
- crystal system = tetragonal

# 2
## SrGdGe2 (PBE-GGA)

Data for crystalline SrGdGe2 at its relaxed geometry.

a = 3.931 Å, b = 3.931 Å, c = 6.825 Å
α = 90.00°, β = 90.00°, γ = 90.00°
Space group P4/mmm (No. 123)
Unique sites:
Sr: 0.000 0.000 0.000
Gd: 0.000 0.000 0.500
Ge: 0.500 0.500 0.308

Calculated values
- formation energy (meV per atom) = -590
- crystal system = tetragonal

Calculated values (μB/f.u.) of total magnetization for the records, taken in order: 0.000, 7.135.